# Ba3GeS5

Ba3GeS5 after structural relaxation (PBE, Alexandria via LeMat-Bulk).

```
data_Ba3GeS5
_cell_length_a 12.182
_cell_length_b 9.649
_cell_length_c 8.775
_cell_angle_alpha 90.00
_cell_angle_beta 90.00
_cell_angle_gamma 90.00
_symmetry_space_group_name_H-M 'P n m a'
_symmetry_Int_Tables_number 62
loop_
_symmetry_equiv_pos_as_xyz
'x,y,z'
'-x,-y,-z'
'-x+1/2,-y,z+1/2'
'x+1/2,y,-z+1/2'
'x+1/2,-y+1/2,-z+1/2'
'-x+1/2,y+1/2,z+1/2'
'-x,y+1/2,-z'
'x,-y+1/2,z'
loop_
_atom_site_label
_atom_site_type_symbol
_atom_site_fract_x
_atom_site_fract_y
_atom_site_fract_z
_atom_site_occupancy
Ba1 Ba 0.018 0.250 0.116 1
Ba2 Ba 0.184 0.018 0.578 1
Ge1 Ge 0.097 0.750 0.304 1
S1 S 0.000 0.250 0.483 1
S2 S 0.054 0.561 0.176 1
S3 S 0.222 0.250 0.849 1
S4 S 0.235 0.750 0.817 1
```

Properties
Polymorph energy (0 for the lowest one) in meV per atom: 0
Formation energy (no corrections) in eV per atom: -1.5869